Entry from Alexandria via LeMat-Bulk: an optimized crystal structure of LiFe2Ir (PBE).

Properties
E_form = 0.11 eV/atom
Density of states at the Fermi level = 4.26 states/eV per cell

Unit cell a=3.0055 b=3.0055 c=5.5534 alpha=90.00 beta=90.00 gamma=90.00
With the nearest neighbours (Å) after each atom.
Fractional coordinates of all 4 atoms:
Li: 0.5000 0.5000 0.7517  6 Fe 2.52-2.81, 4 Ir 2.53
Ir: 0.0000 0.0000 0.5061  4 Li 2.53, 6 Fe 2.57-2.83
Fe: 0.0000 0.0000 0.9971  4 Li 2.52, 4 Fe 2.53, 2 Ir 2.73-2.83
Fe: 0.5000 0.5000 0.2452  4 Fe 2.53, 4 Ir 2.57, 2 Li 2.74-2.81

Entry from Alexandria via LeMat-Bulk: an optimized crystal structure of CsTe2PN (PBE).

Properties
Density of states at the Fermi level = 3.98 states/eV per cell
Uncorrected formation energy = 0.2202 eV per atom

Unit cell a=6.6930 b=6.6930 c=3.2730 alpha=90.00 beta=90.00 gamma=90.00
With the nearest neighbours (Å) after each atom.
Fractional coordinates of all 5 atoms:
P: 0.0000 0.0000 0.0000  2 N 1.64
Cs: 0.5000 0.5000 0.5000  2 Cs 3.27
Te: 0.5000 0.0000 0.0000  2 Te 3.27, 2 P 3.35
Te: 0.0000 0.5000 0.0000  2 Te 3.27, 2 P 3.35
N: 0.0000 0.0000 0.5000  2 P 1.64

Entry from Alexandria via LeMat-Bulk: an optimized crystal structure of NaNd2AlS5 (PBE).

Properties
Uncorrected formation energy = -1.6392 eV per atom

Unit cell a=3.9008 b=8.7491 c=11.9689 alpha=90.00 beta=90.00 gamma=102.88
With the nearest neighbours (Å) after each atom.
Fractional coordinates of all 18 atoms:
S: 0.3293 0.6587 0.3565  1 Al 2.25
S: 0.2922 0.5844 0.6980  2 Na 2.81, 3 Nd 2.81-2.93
S: 0.7078 0.4156 0.1980  2 Na 2.81, 3 Nd 2.81-2.93
S: 0.0207 0.0414 0.0211  2 Al 2.30
S: 0.4877 0.9754 0.7604  1 Al 2.24
S: 0.3509 0.7017 0.0132  1 Na 2.71, 4 Nd 2.88-2.92
S: 0.5123 0.0246 0.2604  1 Al 2.24
S: 0.6491 0.2983 0.5132  1 Na 2.71, 4 Nd 2.88-2.92
S: 0.9793 0.9586 0.5211  2 Al 2.30
S: 0.6707 0.3413 0.8565  1 Al 2.25
Na: 0.1925 0.3850 0.0307  6 S 2.71-2.93
Na: 0.8075 0.6150 0.5307  6 S 2.71-2.93
Nd: 0.8792 0.7585 0.1853  8 S 2.88-3.12
Nd: 0.1360 0.2720 0.3324  6 S 2.81-3.00
Nd: 0.8640 0.7280 0.8324  6 S 2.81-3.00
Nd: 0.1208 0.2415 0.6853  8 S 2.88-3.12
Al: 0.5480 0.0960 0.9265  4 S 2.24-2.30
Al: 0.4520 0.9040 0.4265  4 S 2.24-2.30